# InIrSCl2

A relaxed structure of InIrSCl2 (GGA-PBE, Alexandria).

Lattice parameters (Å, degrees): 5.1718 5.1718 4.4419 90.00 90.00 90.00
Closest atoms and distances in Å follow each position.
Space group P4/mmm (No. 123)
Inequivalent atoms, fractional coordinates:
In1 0.0000 0.0000 0.0000 [1 per cell]  8 Cl 3.41, 4 S 3.66
Ir1 0.5000 0.5000 0.5000 [1 per cell]  2 S 2.22
S1 0.5000 0.5000 0.0000 [1 per cell]  2 Ir 2.22
Cl1 0.0000 0.5000 0.5000 [2 per cell]  2 Ir 2.59

Computed properties:
The total magnetization comes out at 0.00 μB/cell. For the formation energy from raw total energies, the calculation gives -14.95 kJ per mole of atoms. The mass density comes out at 5.730 Mg/m³.